Compound: CuSi2Sb
Source: Alexandria
Functional: PBE
Structure: optimized geometry

Calculated values
The calculation puts the uncorrected formation energy at 0.254 eV per atom. As for the magnetic moment: 0.000 μB per atom. Its calculated volume is 147 Å³/cell. As for the crystal system: monoclinic.

```
data_CuSi2Sb
_cell_length_a 7.376
_cell_length_b 3.611
_cell_length_c 5.899
_cell_angle_alpha 90.00
_cell_angle_beta 110.31
_cell_angle_gamma 90.00
_space_group_name_H-M_alt 'C 1 m 1'
_space_group_IT_number 8
loop_
_space_group_symop_operation_xyz
'x,y,z'
'x,-y,z'
'x+1/2,y+1/2,z'
'x+1/2,-y+1/2,z'
loop_
_atom_site_label
_atom_site_type_symbol
_atom_site_fract_x
_atom_site_fract_y
_atom_site_fract_z
_atom_site_occupancy
Cu1 Cu 0.000 0.000 0.000 1
Si1 Si 0.007 0.500 0.360 1
Si2 Si 0.261 0.500 0.182 1
Sb1 Sb 0.216 0.000 0.738 1
```